[1]
Density functional theory data (GGA-PBE) for a relaxed Pm5Tl3Cd crystal.

Cell: 9.5633 9.5633 6.8035 Å, 90.00 90.00 120.00°
Last column: nearest neighbours and their distance in Å.
Fractional positions:
Pm (0.0000, 0.2909, 0.2500)  5 Tl 3.22-3.48, 2 Cd 3.26
Pm (0.0000, 0.7091, 0.7500)  5 Tl 3.22-3.48, 2 Cd 3.26
Pm (0.2909, 0.0000, 0.2500)  5 Tl 3.22-3.48, 2 Cd 3.26
Pm (0.2909, 0.2909, 0.7500)  5 Tl 3.22-3.48, 2 Cd 3.26
Pm (0.3333, 0.6667, 0.0000)  8 Pm 3.40-3.81, 6 Tl 3.48
Pm (0.3333, 0.6667, 0.5000)  8 Pm 3.40-3.81, 6 Tl 3.48
Pm (0.6667, 0.3333, 0.0000)  8 Pm 3.40-3.81, 6 Tl 3.48
Pm (0.6667, 0.3333, 0.5000)  8 Pm 3.40-3.81, 6 Tl 3.48
Pm (0.7091, 0.0000, 0.7500)  5 Tl 3.22-3.48, 2 Cd 3.26
Pm (0.7091, 0.7091, 0.2500)  5 Tl 3.22-3.48, 2 Cd 3.26
Tl (0.0000, 0.3693, 0.7500)  9 Pm 3.22-3.48
Tl (0.0000, 0.6307, 0.2500)  9 Pm 3.22-3.48
Tl (0.3693, 0.0000, 0.7500)  9 Pm 3.22-3.48
Tl (0.3693, 0.3693, 0.2500)  9 Pm 3.22-3.48
Tl (0.6307, 0.0000, 0.2500)  9 Pm 3.22-3.48
Tl (0.6307, 0.6307, 0.7500)  9 Pm 3.22-3.48
Cd (0.0000, 0.0000, 0.0000)  6 Pm 3.26, 2 Cd 3.40
Cd (0.0000, 0.0000, 0.5000)  6 Pm 3.26, 2 Cd 3.40

The total magnetic moment comes out at 0.00 Bohr magnetons per cell. The calculated total energy is -69.68 eV per cell.

[2]
Density functional theory data (GGA-PBE) for a relaxed PmTlCd crystal.

Cell: 5.0148 5.0148 5.0148 Å, 60.00 60.00 60.00°
Last column: nearest neighbours and their distance in Å.
Fractional positions:
Pm (0.0000, 0.0000, 0.0000)  4 Tl 3.07
Tl (0.7500, 0.7500, 0.7500)  4 Cd 3.07, 4 Pm 3.07
Cd (0.5000, 0.5000, 0.5000)  4 Tl 3.07

Its relative energy among the computed polymorphs is 0.000 eV per atom. The total magnetic moment comes out at 0.00 Bohr magnetons per cell.

[3]
Density functional theory data (GGA-PBE) for a relaxed PmUCd crystal.

Cell: 5.0454 5.0454 5.0454 Å, 60.00 60.00 60.00°
Last column: nearest neighbours and their distance in Å.
Fractional positions:
Pm (0.0000, 0.0000, 0.0000)  4 U 3.09
U (0.7500, 0.7500, 0.7500)  4 Cd 3.09, 4 Pm 3.09
Cd (0.5000, 0.5000, 0.5000)  4 U 3.09

Its relative energy among the computed polymorphs is 0.000 eV per atom. As for the formation energy from the elements: 22.793 kcal/mol of atoms. The total magnetic moment comes out at 3.21 Bohr magnetons per cell.